No. 1
Below is a relaxed structure of RbAs2WO8, with properties calculated at the GGA+U level.

## Properties
Final energy = -75.3 eV/cell
Volume = 209 Å³ per cell

Lattice parameters (Å, degrees): 5.1149 5.1149 9.6707 74.67 74.67 60.00
Element x y z (fractional)
W (0.0000, 0.0000, 0.0000)
O (0.2070, 0.2070, 0.3790)
O (0.7474, 0.0057, 0.8726)
Rb (0.5000, 0.5000, 0.5000)
O (0.0057, 0.3743, 0.8726)
O (0.2526, 0.9943, 0.1274)
O (0.3743, 0.7474, 0.8726)
O (0.9943, 0.6257, 0.1274)
As (0.7329, 0.7329, 0.8014)
As (0.2671, 0.2671, 0.1986)
O (0.6257, 0.2526, 0.1274)
O (0.7930, 0.7930, 0.6210)


No. 2
Below is a relaxed structure of RbAsW2O8, with properties calculated at the GGA+U level.

## Properties
Final energy = -79.6 eV/cell
Volume = 252 Å³ per cell

Lattice parameters (Å, degrees): 5.6144 5.6144 9.7855 73.33 73.33 60.00
Element x y z (fractional)
O (0.1270, 0.6984, 0.6457)
O (0.3016, 0.8730, 0.3543)
O (0.3007, 0.3007, 0.0978)
O (0.6993, 0.6993, 0.9022)
O (0.6984, 0.5289, 0.6457)
Rb (0.0000, 0.0000, 0.0000)
O (0.4711, 0.3016, 0.3543)
W (0.7638, 0.7638, 0.7087)
O (0.5289, 0.1270, 0.6457)
As (0.5000, 0.5000, 0.5000)
O (0.8730, 0.4711, 0.3543)
W (0.2362, 0.2362, 0.2913)


No. 3
Below is a relaxed structure of RbAsWO6, with properties calculated at the GGA+U level.

## Properties
Final energy = -57.8 eV/cell
Volume = 147 Å³ per cell

Lattice parameters (Å, degrees): 5.1564 5.1564 6.3959 90.00 90.00 60.00
Element x y z (fractional)
O (0.3980, 0.9883, 0.6683)
O (0.3980, 0.6137, 0.3316)
O (0.6137, 0.3981, 0.6683)
As (0.6666, 0.6667, 0.5000)
O (0.9882, 0.6137, 0.6683)
O (0.9882, 0.3981, 0.3316)
O (0.6137, 0.9882, 0.3316)
W (0.3333, 0.3333, 0.5000)
Rb (0.0000, 0.0000, 0.0000)


No. 4
Below is a relaxed structure of Rb2AsWO6, with properties calculated at the GGA+U level.

## Properties
Final energy = -60.0 eV/cell
Volume = 182 Å³ per cell

Lattice parameters (Å, degrees): 7.4507 6.9340 5.5346 68.68 64.40 113.15
Element x y z (fractional)
W (0.0160, 0.9465, 0.0075)
O (0.7235, 0.3425, 0.0265)
O (0.7349, 0.6594, 0.4996)
Rb (0.7982, 0.2405, 0.5176)
O (0.2242, 0.8634, 0.9656)
O (0.7598, 0.7910, 0.9544)
As (0.5725, 0.4741, 0.0213)
O (0.2649, 0.2485, 0.4753)
Rb (0.3090, 0.7219, 0.4964)
O (0.0970, 0.2122, 0.0359)